[1]
This record from Alexandria describes a relaxed structure of La2SiI2. The functional is PBE.

The value obtained for the formation energy without anion corrections is -923.2 meV/atom. The calculation puts the total magnetic moment at 0.000 μB/atom.

```
10
Lattice="4.2806 0.0000 0.0000 -2.1403 7.5638 0.0000 0.0000 0.0000 11.3825" Properties=species:S:1:pos:R:3 pbc="T T T"
Si 2.1403 2.3320 11.2017
Si 0.0000 5.2318 5.5105
La 2.1403 6.9599 4.5759
La 2.1403 4.0487 7.2651
La 0.0000 0.6039 10.2672
La 0.0000 3.5151 1.5738
I 2.1403 2.0132 3.7563
I 0.0000 1.4699 7.1812
I 0.0000 5.5506 9.4476
I 2.1403 6.0939 1.4899
```

[2]
This record from Alexandria describes a relaxed structure of TlFeSn2B. The functional is PBE.

The calculation puts the total magnetic moment at 0.448 μB/atom. Its energy of formation from the pure elements is 585 meV/atom.

```
5
Lattice="-3.6686 3.0977 -1.5837 -1.7426 -3.0833 -1.9943 -2.7213 -1.1210 4.1110" Properties=species:S:1:pos:R:3 pbc="T T T"
Sn -1.8343 1.5489 -0.7918
Sn -1.3606 -0.5605 2.0555
B 0.0000 0.0000 0.0000
Fe -0.8713 -1.5417 -0.9972
Tl -4.0662 -0.5533 0.2665
```

[3]
This record from Alexandria describes a relaxed structure of Cs2RbNa. The functional is PBE.

The calculation puts the total magnetic moment at 0.000 μB/atom. Its energy of formation from the pure elements is 26 meV/atom.

```
8
Lattice="-5.8946 7.9019 -3.9545 -8.9284 -1.2950 -3.5442 -7.2446 4.1778 4.8816" Properties=species:S:1:pos:R:3 pbc="T T T"
Cs -8.1453 6.8363 -2.8759
Cs -16.1711 8.1963 -2.1665
Cs -5.8966 2.5884 -0.4507
Cs -13.9224 3.9484 0.2587
Rb -11.7274 8.2546 0.0502
Rb -10.3403 2.5301 -2.6673
Na -12.7580 5.7711 -4.2893
Na -9.3097 5.0136 1.6722
```

[4]
This record from Alexandria describes a relaxed structure of CaSiTe2I. The functional is PBE.

The value obtained for the formation energy without anion corrections is -327.7 meV/atom. The calculation puts the total magnetic moment at 0.000 μB/atom.

```
5
Lattice="5.3790 0.0000 0.0000 0.0000 5.3790 0.0000 0.0000 0.0000 5.5723" Properties=species:S:1:pos:R:3 pbc="T T T"
I 0.0000 0.0000 2.7861
Si 0.0000 0.0000 0.0000
Te 2.6895 0.0000 0.0000
Te 0.0000 2.6895 0.0000
Ca 2.6895 2.6895 2.7861
```

[5]
This record from Alexandria describes a relaxed structure of Ho3Tm2In3. The functional is PBE.

The calculation puts the total magnetic moment at 0.000 μB/atom. Its energy of formation from the pure elements is -359 meV/atom.

```
8
Lattice="3.7289 0.0000 0.0000 0.0000 5.3028 0.0000 -1.8644 -2.6514 11.0552" Properties=species:S:1:pos:R:3 pbc="T T T"
Ho 0.0000 0.0000 8.2841
Ho 1.8644 0.0000 0.0000
Ho 1.8644 2.6514 2.7711
Tm 1.8644 0.0000 5.2104
Tm 0.0000 2.6514 5.8448
In 1.8644 2.6514 8.3998
In 0.0000 2.6514 0.0000
In 0.0000 0.0000 2.6554
```

[6]
This record from Alexandria describes a relaxed structure of Sc3PF. The functional is PBE.

The value obtained for the formation energy without anion corrections is -993.4 meV/atom. The calculation puts the total magnetic moment at 0.000 μB/atom.

```
5
Lattice="4.3433 0.0000 0.0000 0.0000 4.3433 0.0000 0.0000 0.0000 4.3433" Properties=species:S:1:pos:R:3 pbc="T T T"
Sc 2.1716 0.0000 0.0000
Sc 0.0000 0.0000 2.1716
Sc 0.0000 2.1716 0.0000
P 2.1716 2.1716 2.1716
F 0.0000 0.0000 0.0000
```

[7]
This record from Alexandria describes a relaxed structure of PaTl2InBr8. The functional is PBE.

The value obtained for the formation energy without anion corrections is -1106.9 meV/atom. The calculation puts the total magnetic moment at 0.000 μB/atom.

```
12
Lattice="-5.7337 -4.5359 2.6515 -0.1232 -3.2804 -6.2943 6.4861 -6.3372 3.1704" Properties=species:S:1:pos:R:3 pbc="T T T"
Br 2.3839 -12.1346 -0.0319
Br 0.5327 -4.3863 -3.8796
Br 1.3713 -5.5240 0.7020
Br 4.3584 -8.1275 -2.0092
Br -1.7547 -2.0189 -0.4404
Br 0.0965 -9.7673 3.4072
Br -3.7292 -6.0261 1.5369
Br -0.7421 -8.6296 -1.1743
Pa 0.0000 0.0000 0.0000
Tl -1.1841 -5.6134 -0.9702
Tl 1.8133 -8.5402 0.4978
In 3.2430 -3.1686 1.5852
```

[8]
This record from Alexandria describes a relaxed structure of Li2CuSiO4. The functional is PBE.

The value obtained for the formation energy without anion corrections is -1976.2 meV/atom. The calculation puts the total magnetic moment at 0.124 μB/atom.

```
24
Lattice="-2.2671 4.4932 -0.2849 -1.0374 -3.5671 -3.4072 -8.5112 -3.8730 6.6463" Properties=species:S:1:pos:R:3 pbc="T T T"
Li -6.6698 -3.9112 0.7882
Li -8.4306 -1.8656 2.9116
Li -4.0814 -0.8862 -0.7354
Li -8.5590 -4.6549 4.5363
Li -5.8753 1.1686 1.3512
Li -1.8312 1.3085 0.0106
Cu -8.1277 -1.1762 5.4085
Cu -1.8922 -2.2740 -0.4478
Cu -6.0515 -1.4332 1.3166
Si -3.2471 -0.4785 2.1639
Si -2.7070 0.7586 -3.0245
Si -5.8618 -3.2271 3.8147
O -5.4913 -3.1351 2.2058
O -2.4678 3.1697 -0.4829
O -9.3918 -6.1044 3.3881
O -3.0832 0.6779 -1.4163
O -6.8310 -1.9360 4.1562
O -8.8888 -0.1650 3.8597
O -4.8663 -0.2205 2.3775
O -3.5163 -2.6168 -1.5639
O -7.8081 -2.2547 1.0586
O -3.0939 -1.5409 0.9106
O -9.6015 -3.3813 3.3997
O -5.8547 -0.1747 -0.1681
```

[9]
This record from Alexandria describes a relaxed structure of Na3PmSb2Se6. The functional is PBE.

The value obtained for the formation energy without anion corrections is -990.3 meV/atom. The calculation puts the total magnetic moment at 0.000 μB/atom.

```
12
Lattice="7.2757 -0.0021 0.0015 -3.6379 6.3010 0.0015 -1.2121 -2.0987 7.0347" Properties=species:S:1:pos:R:3 pbc="T T T"
Se -1.2338 2.1332 1.6296
Se 2.4643 -0.0026 1.6296
Se 0.0199 0.0344 5.3914
Se -0.0386 4.2028 5.4080
Se 3.6596 2.0670 5.4080
Se 2.4059 4.1658 1.6462
Sb 3.6362 2.0999 0.0015
Sb 0.0017 4.1990 0.0015
Na 4.8176 0.0183 3.5188
Na 1.2129 2.1001 3.5188
Na -2.3918 4.1820 3.5188
Pm 0.0000 0.0000 0.0000
```

[10]
This record from Alexandria describes a relaxed structure of KIn3Au2. The functional is PBE.

The calculation puts the total magnetic moment at 0.000 μB/atom. Its energy of formation from the pure elements is -208 meV/atom.

```
12
Lattice="5.7058 0.0000 0.0000 0.0000 7.5585 0.0039 0.0000 -1.5146 7.4052" Properties=species:S:1:pos:R:3 pbc="T T T"
In 1.4264 2.7611 6.8099
In 4.2793 3.2827 0.5991
In 1.4264 5.7174 7.0089
In 4.2793 -0.0725 3.3362
In 1.4264 6.1164 4.0729
In 4.2793 0.3265 0.4002
Au 2.8529 0.6136 5.6691
Au 0.0000 0.6136 5.6691
Au 0.0000 5.4302 1.7400
Au 2.8529 5.4302 1.7400
K 4.2793 3.9254 4.8120
K 1.4264 2.1185 2.5970
```

[11]
This record from Alexandria describes a relaxed structure of AlCl. The functional is PBE.

The value obtained for the formation energy without anion corrections is -710.6 meV/atom. The calculation puts the total magnetic moment at 0.000 μB/atom.

```
12
Lattice="-5.8123 -0.9666 8.0162 6.1857 -7.3541 -2.5753 3.5346 1.9915 2.8030" Properties=species:S:1:pos:R:3 pbc="T T T"
Cl 4.7328 -5.6441 4.5482
Cl 6.3525 -3.7518 1.1612
Cl 3.4265 -1.7981 3.4629
Cl 0.4814 -4.5311 4.7810
Cl -0.8248 -0.6851 3.6957
Cl -2.4446 -2.5774 7.0827
Al 2.9755 0.1061 2.6788
Al -3.8817 -1.3606 8.0304
Al 7.7896 -4.9686 0.2135
Al 3.7467 -6.3315 6.2801
Al 0.9325 -6.4353 5.5651
Al 0.1612 0.0023 1.9638
```